Record 1
Compound: CsAlIn3
Source: Alexandria
Functional: PBE
Structure: optimized geometry

Unit cell a=6.4384 b=6.4384 c=6.4384 alpha=90.00 beta=90.00 gamma=90.00
With the nearest neighbours (Å) after each atom.
Atoms (fractional coordinates):
Cs: 0.0000 0.0000 0.0000  6 In 3.22
Al: 0.5000 0.5000 0.5000  12 In 4.55
In: 0.0000 0.0000 0.5000  2 Cs 3.22
In: 0.0000 0.5000 0.0000  2 Cs 3.22
In: 0.5000 0.0000 0.0000  2 Cs 3.22

Output
* formation energy: 1.270 eV/atom
* Fermi-level density of states: 8.66 states/eV/cell
* calculated density: 3.1 g/cm3
* VASP energy: -0.047 hartree per atom

***

Record 2
Compound: Na3OsBr2F6
Source: Alexandria
Functional: PBE
Structure: optimized geometry

Unit cell a=8.0917 b=8.0917 c=4.7885 alpha=91.00 beta=91.00 gamma=51.68
With the nearest neighbours (Å) after each atom.
Atoms (fractional coordinates):
Na: 0.0000 0.0000 0.0000  4 F 2.50
Na: 0.0000 0.5000 0.5000  2 F 2.60, 2 Br 2.84
Na: 0.5000 0.0000 0.5000  2 F 2.60, 2 Br 2.84
Os: 0.5000 0.5000 0.5000  6 F 1.91-1.93
Br: 0.1919 0.1919 0.0668  3 Na 2.81-2.84
Br: 0.8081 0.8081 0.9332  3 Na 2.81-2.84
F: 0.2640 0.6621 0.2510  1 Os 1.91
F: 0.3379 0.7360 0.7490  1 Os 1.91
F: 0.3750 0.3750 0.6278  1 Os 1.93
F: 0.6250 0.6250 0.3722  1 Os 1.93
F: 0.6621 0.2640 0.2510  1 Os 1.91
F: 0.7360 0.3379 0.7490  1 Os 1.91

Output
* calculated density: 3.6 g/cm3
* VASP energy: -0.160 hartree per atom